P | Density functional theory data (PBE) for a geometry-optimized HoTmSi2Os structure.

a b c (Å): 10.5364 4.2108 9.9103
angles (deg): 90.00 118.53 90.00
With the nearest neighbours (Å) after each atom.
Space group C2/m (No. 12)
Inequivalent atoms, fractional coordinates:
Ho 0.1863 0.0000 0.1110 [4 per cell]  6 Si 2.88-3.19, 2 Os 3.20
Tm 0.0067 0.0000 0.6775 [4 per cell]  6 Si 2.88-3.06, 4 Os 3.03-3.13
Si 0.0047 0.5000 0.8752 [4 per cell]  1 Si 2.52, 1 Os 2.53
Si 0.1416 0.5000 0.5599 [4 per cell]  3 Os 2.41-2.45, 1 Si 2.63
Os 0.2312 0.5000 0.3729 [4 per cell]  4 Si 2.41-2.53


Q | Density functional theory data (PBE) for a geometry-optimized HoTmSi2Os structure.

a b c (Å): 10.5853 4.2109 9.9089
angles (deg): 90.00 118.87 90.00
With the nearest neighbours (Å) after each atom.
Space group C2/m (No. 12)
Inequivalent atoms, fractional coordinates:
Ho 0.0085 0.0000 0.1793 [4 per cell]  6 Si 2.89-3.07, 4 Os 3.04-3.14
Tm 0.1848 0.0000 0.6109 [4 per cell]  5 Si 2.86-3.03, 2 Os 3.18
Si 0.0040 0.5000 0.3763 [4 per cell]  1 Si 2.49, 1 Os 2.51
Si 0.1430 0.5000 0.0608 [4 per cell]  3 Os 2.41-2.45, 1 Si 2.66
Os 0.2301 0.5000 0.8717 [4 per cell]  4 Si 2.41-2.51


Which of them is the most stable, and which is the least stable? P and Q, in that order.


P | Density functional theory data (PBE) for a geometry-optimized Sm3Ho3Te2Os structure.

a b c (Å): 8.4353 8.4353 4.0274
angles (deg): 90.00 90.00 120.00
With the nearest neighbours (Å) after each atom.
Space group P-62m (No. 189)
Inequivalent atoms, fractional coordinates:
Sm 0.0000 0.7563 0.0000 [3 per cell]  2 Os 2.88
Ho 0.0000 0.3941 0.5000 [3 per cell]  4 Te 3.28, 1 Os 3.32, 6 Sm 3.54-3.66
Te 0.3333 0.6667 0.0000 [2 per cell]  3 Sm 3.26, 6 Ho 3.28
Os 0.0000 0.0000 0.5000 [1 per cell]  6 Sm 2.88


Q | Density functional theory data (PBE) for a geometry-optimized Sm3Ho3Te2Os structure.

a b c (Å): 8.3808 8.3808 4.0884
angles (deg): 90.00 90.00 120.00
With the nearest neighbours (Å) after each atom.
Space group P-62m (No. 189)
Inequivalent atoms, fractional coordinates:
Sm 0.0000 0.3970 0.0000 [3 per cell]  4 Te 3.28, 1 Os 3.33, 4 Ho 3.55
Ho 0.0000 0.7648 0.5000 [3 per cell]  2 Os 2.84
Te 0.3333 0.6667 0.5000 [2 per cell]  6 Sm 3.28, 3 Ho 3.28
Os 0.0000 0.0000 0.0000 [1 per cell]  6 Ho 2.84


Which of them is the most stable, and which is the least stable? Q and P, in that order.